Here is an optimized crystal structure of Zr4CuMo from the Alexandria database. Energies are from GGA-PBE.

a b c (Å): 5.615 5.615 5.615
angles (deg): 60.00 60.00 60.00
Element x y z (fractional)
Cu (0.750, 0.750, 0.750)
Zr (0.374, 0.374, 0.879)
Zr (0.879, 0.374, 0.374)
Zr (0.374, 0.879, 0.374)
Zr (0.374, 0.374, 0.374)
Mo (0.000, 0.000, 0.000)

Values from the calculation:
Formation enthalpy at 0 K ... 0.717 eV/atom
Space group ... No. 216
Total energy ... -44.821 eV for the cell shown